## A
First-principles (PBE) data for an optimized crystal structure of Nd6Al2Hg, as listed in Alexandria via LeMat-Bulk.

abc: 5.9150 9.1368 11.2316
angles: 90.00 116.88 90.00
With the nearest neighbours (Å) after each atom.
Space group P2_1/c (No. 14)
Unique sites:
Nd 0.0033 0.1622 0.0783  3 Al 3.20-3.29, 1 Hg 3.21, 3 Nd 3.35-3.53
Nd 0.3794 0.5175 0.3053  1 Hg 3.14, 3 Al 3.25-3.44, 2 Nd 3.35-3.49
Nd 0.3906 0.1683 0.4331  1 Hg 3.14, 3 Al 3.35-3.51, 2 Nd 3.41-3.49
Al 0.1824 0.6438 0.7455  9 Nd 3.20-3.51
Hg 0.0000 0.0000 0.5000  6 Nd 3.14-3.21

Results
size of the total moment: 0.00 μB per formula unit

## B
First-principles (PBE) data for an optimized crystal structure of Nd6Al2Hg, as listed in Alexandria via LeMat-Bulk.

abc: 10.0594 10.1992 10.7471
angles: 90.00 90.00 90.00
With the nearest neighbours (Å) after each atom.
Space group Immm (No. 71)
Unique sites:
Nd 0.0000 0.2138 0.1755  3 Al 3.08-3.19
Nd 0.1796 0.2289 0.5000  3 Al 3.23-3.33, 1 Hg 3.30, 1 Nd 3.61
Nd 0.2004 0.5000 0.2506  2 Al 3.14-3.31, 2 Hg 3.35-3.36
Al 0.0000 0.0000 0.3777  1 Al 2.63
Al 0.1365 0.0000 0.0000  1 Al 2.75
Hg 0.0000 0.5000 0.0000  8 Nd 3.36-3.48
Hg 0.0000 0.5000 0.5000  8 Nd 3.30-3.35, 2 Al 3.66

Results
size of the total moment: 0.00 μB per formula unit

We find B to be the most stable, with the next structure 79 meV per atom higher.

## A
First-principles (PBE) data for an optimized crystal structure of PrNdAlHg, as listed in Alexandria via LeMat-Bulk.

abc: 7.6391 7.6391 7.6391
angles: 90.00 90.00 90.00
With the nearest neighbours (Å) after each atom.
Space group F-43m (No. 216)
Unique sites:
Pr 0.0000 0.0000 0.0000  4 Hg 3.31, 4 Al 3.31
Nd 0.0000 0.0000 0.5000  4 Al 3.31, 4 Hg 3.31
Al 0.2500 0.2500 0.7500  4 Pr 3.31, 4 Nd 3.31
Hg 0.2500 0.2500 0.2500  4 Pr 3.31, 4 Nd 3.31

Results
size of the total moment: 0.00 μB per formula unit

## B
First-principles (PBE) data for an optimized crystal structure of PrNdAlHg, as listed in Alexandria via LeMat-Bulk.

abc: 3.6339 3.6339 8.2472
angles: 90.00 90.00 90.00
With the nearest neighbours (Å) after each atom.
Space group P4mm (No. 99)
Unique sites:
Pr 0.0000 0.0000 0.0000  4 Al 3.25, 4 Hg 3.37, 4 Pr 3.63
Nd 0.0000 0.0000 0.4786  4 Al 3.23, 4 Hg 3.33
Al 0.5000 0.5000 0.2412  4 Nd 3.23, 4 Pr 3.25
Hg 0.5000 0.5000 0.7350  4 Nd 3.33, 4 Pr 3.37, 4 Hg 3.63

Results
size of the total moment: 0.00 μB per formula unit

We find B to be the most stable, with the next structure 38 meV per atom higher.

## A
First-principles (PBE) data for an optimized crystal structure of NdSmAlHg, as listed in Alexandria via LeMat-Bulk.

abc: 7.5694 7.5694 7.5694
angles: 90.00 90.00 90.00
With the nearest neighbours (Å) after each atom.
Space group F-43m (No. 216)
Unique sites:
Nd 0.0000 0.0000 0.0000  4 Al 3.28, 4 Hg 3.28
Sm 0.0000 0.0000 0.5000  4 Hg 3.28, 4 Al 3.28
Al 0.2500 0.2500 0.2500  4 Nd 3.28, 4 Sm 3.28
Hg 0.2500 0.2500 0.7500  4 Nd 3.28, 4 Sm 3.28

Results
size of the total moment: 0.00 μB per formula unit

## B
First-principles (PBE) data for an optimized crystal structure of NdSmAlHg, as listed in Alexandria via LeMat-Bulk.

abc: 3.5954 3.5954 8.1882
angles: 90.00 90.00 90.00
With the nearest neighbours (Å) after each atom.
Space group P4mm (No. 99)
Unique sites:
Nd 0.0000 0.0000 0.0000  4 Al 3.23, 4 Hg 3.36, 4 Nd 3.60
Sm 0.0000 0.0000 0.4791  4 Al 3.20, 4 Hg 3.28
Al 0.5000 0.5000 0.2423  4 Sm 3.20, 4 Nd 3.23
Hg 0.5000 0.5000 0.7326  4 Sm 3.28, 4 Nd 3.36, 4 Hg 3.60

Results
size of the total moment: 0.00 μB per formula unit

We find B to be the most stable, with the next structure 40 meV per atom higher.

## A
First-principles (PBE) data for an optimized crystal structure of Al2Ni2Hg, as listed in Alexandria via LeMat-Bulk.

abc: 3.7247 3.7247 11.0739
angles: 90.00 90.00 90.00
With the nearest neighbours (Å) after each atom.
Space group I4/mmm (No. 139)
Unique sites:
Al 0.0000 0.5000 0.2500  4 Ni 2.43, 4 Al 2.63
Ni 0.0000 0.0000 0.1088  1 Ni 2.41, 4 Al 2.43
Hg 0.0000 0.0000 0.5000  8 Ni 2.90

Results
size of the total moment: 0.00 μB per formula unit

## B
First-principles (PBE) data for an optimized crystal structure of Al2Ni2Hg, as listed in Alexandria via LeMat-Bulk.

abc: 6.9881 6.9881 2.9368
angles: 90.00 90.00 90.00
With the nearest neighbours (Å) after each atom.
Space group P4/mbm (No. 127)
Unique sites:
Al 0.1479 0.3521 0.0000  6 Ni 2.50-2.54
Ni 0.1419 0.6419 0.5000  6 Al 2.50-2.54, 2 Hg 2.69
Hg 0.0000 0.0000 0.5000  4 Ni 2.69, 2 Hg 2.94

Results
size of the total moment: 0.00 μB per formula unit

## C
First-principles (PBE) data for an optimized crystal structure of Al2Ni2Hg, as listed in Alexandria via LeMat-Bulk.

abc: 3.6877 3.6877 11.7447
angles: 90.00 90.00 90.00
With the nearest neighbours (Å) after each atom.
Space group I4/mmm (No. 139)
Unique sites:
Al 0.0000 0.0000 0.1184  4 Ni 2.41
Ni 0.0000 0.5000 0.2500  4 Al 2.41, 4 Ni 2.61
Hg 0.0000 0.0000 0.5000  8 Al 2.96

Results
size of the total moment: 0.00 μB per formula unit

We find B to be the most stable, with the next structure 170 meV per atom higher.

## A
First-principles (PBE) data for an optimized crystal structure of AlNi2Hg, as listed in Alexandria via LeMat-Bulk.

abc: 2.8715 2.8715 24.5663
angles: 90.00 90.00 120.00
With the nearest neighbours (Å) after each atom.
Space group R-3m (No. 166, hexagonal axes)
Unique sites:
Al 0.0000 0.0000 0.0000  6 Ni 2.46
Ni 0.0000 0.0000 0.2594  3 Al 2.46
Hg 0.0000 0.0000 0.5000  6 Ni 2.82, 6 Hg 2.87

Results
size of the total moment: 0.00 μB per formula unit

## B
First-principles (PBE) data for an optimized crystal structure of AlNi2Hg, as listed in Alexandria via LeMat-Bulk.

abc: 6.7676 6.7676 5.3529
angles: 90.00 90.00 90.00
With the nearest neighbours (Å) after each atom.
Space group I-42d (No. 122)
Unique sites:
Al 0.0000 0.0000 0.0000  4 Ni 2.35
Ni 0.2209 0.7500 0.1250  2 Al 2.35, 2 Hg 2.62
Hg 0.0000 0.0000 0.5000  4 Ni 2.62, 2 Al 2.68

Results
size of the total moment: 0.00 μB per formula unit

## C
First-principles (PBE) data for an optimized crystal structure of AlNi2Hg, as listed in Alexandria via LeMat-Bulk.

abc: 3.7161 3.7161 8.1452
angles: 90.00 90.00 90.00
With the nearest neighbours (Å) after each atom.
Space group I-4m2 (No. 119)
Unique sites:
Al 0.0000 0.0000 0.0000  8 Ni 2.63-2.76, 4 Hg 2.76
Ni 0.0000 0.0000 0.5000  4 Al 2.63, 4 Hg 2.76, 4 Ni 2.76
Ni 0.0000 0.5000 0.2500  4 Hg 2.63, 4 Ni 2.76, 4 Al 2.76
Hg 0.0000 0.5000 0.7500  8 Ni 2.63-2.76, 4 Al 2.76

Results
size of the total moment: 0.00 μB per formula unit

## D
First-principles (PBE) data for an optimized crystal structure of AlNi2Hg, as listed in Alexandria via LeMat-Bulk.

abc: 6.0768 6.0768 6.0768
angles: 90.00 90.00 90.00
With the nearest neighbours (Å) after each atom.
Space group Fm-3m (No. 225)
Unique sites:
Al 0.0000 0.0000 0.0000  8 Ni 2.63
Ni 0.2500 0.2500 0.2500  4 Hg 2.63, 4 Al 2.63
Hg 0.0000 0.0000 0.5000  8 Ni 2.63

Results
size of the total moment: 0.00 μB per formula unit

We find D to be the most stable, with the next structure 60 meV per atom higher.

## A
First-principles (PBE) data for an optimized crystal structure of AlNi2Hg, as listed in Alexandria via LeMat-Bulk.

abc: 6.0909 6.0909 6.0909
angles: 90.00 90.00 90.00
With the nearest neighbours (Å) after each atom.
Space group F-43m (No. 216)
Unique sites:
Al 0.0000 0.0000 0.0000  4 Hg 2.64, 4 Ni 2.64
Ni 0.0000 0.0000 0.5000  4 Hg 2.64, 4 Ni 2.64
Ni 0.2500 0.2500 0.7500  4 Al 2.64, 4 Ni 2.64
Hg 0.2500 0.2500 0.2500  4 Ni 2.64, 4 Al 2.64

Results
size of the total moment: 0.00 μB per formula unit

## B
First-principles (PBE) data for an optimized crystal structure of AlNi2Hg, as listed in Alexandria via LeMat-Bulk.

abc: 3.0336 3.0336 6.3014
angles: 90.00 90.00 90.00
With the nearest neighbours (Å) after each atom.
Space group P4mm (No. 99)
Unique sites:
Al 0.0000 0.0000 0.0000  5 Ni 2.42-2.50
Ni 0.0000 0.0000 0.6038  1 Al 2.50, 4 Ni 2.55, 4 Hg 2.72
Ni 0.5000 0.5000 0.8213  4 Al 2.42, 4 Ni 2.55
Hg 0.5000 0.5000 0.3381  5 Ni 2.72-3.04, 4 Al 3.02, 4 Hg 3.03

Results
size of the total moment: 0.00 μB per formula unit

We find B to be the most stable, with the next structure 60 meV per atom higher.

## A
First-principles (PBE) data for an optimized crystal structure of AlNi2Hg, as listed in Alexandria via LeMat-Bulk.

abc: 5.7347 5.7419 3.4051
angles: 90.00 90.00 90.00
With the nearest neighbours (Å) after each atom.
Space group Cmmm (No. 65)
Unique sites:
Al 0.0000 0.0000 0.0000  8 Ni 2.65, 4 Hg 2.87
Ni 0.2500 0.2500 0.5000  4 Hg 2.65, 4 Al 2.65, 4 Ni 2.87
Hg 0.0000 0.5000 0.0000  8 Ni 2.65, 4 Al 2.87

Results
size of the total moment: 0.00 μB per formula unit

## B
First-principles (PBE) data for an optimized crystal structure of AlNi2Hg, as listed in Alexandria via LeMat-Bulk.

abc: 7.8827 2.8679 5.3384
angles: 90.00 101.01 90.00
With the nearest neighbours (Å) after each atom.
Space group C2/m (No. 12)
Unique sites:
Al 0.0000 0.0000 0.0000  6 Ni 2.44-2.48
Ni 0.2395 0.5000 0.1975  3 Al 2.44-2.48, 2 Ni 2.58, 1 Hg 2.71
Hg 0.0000 0.5000 0.5000  6 Ni 2.71-2.76, 2 Hg 2.87, 4 Al 3.03

Results
size of the total moment: 0.00 μB per formula unit

## C
First-principles (PBE) data for an optimized crystal structure of AlNi2Hg, as listed in Alexandria via LeMat-Bulk.

abc: 2.9190 2.9190 6.5567
angles: 90.00 90.00 90.00
With the nearest neighbours (Å) after each atom.
Space group P4/mmm (No. 123)
Unique sites:
Al 0.0000 0.0000 0.0000  8 Ni 2.47
Ni 0.5000 0.5000 0.2082  4 Al 2.47, 1 Ni 2.73
Hg 0.0000 0.0000 0.5000  8 Ni 2.81, 4 Hg 2.92

Results
size of the total moment: 0.00 μB per formula unit

We find C to be the most stable, with the next structure 124 meV per atom higher.